Below is a relaxed SrLi2Re crystal, with properties calculated at the PBE level.

Geometry as POSCAR:
```
SrLi2Re
1.0
4.207 0.000 0.000
0.000 4.207 0.000
0.000 0.000 9.141
Sr Li Re
2 4 2
Cartesian
0.000 0.000 0.000
2.103 2.103 4.571
0.000 0.000 4.571
0.000 2.103 6.856
2.103 0.000 2.285
2.103 2.103 0.000
0.000 2.103 2.285
2.103 0.000 6.856
```

Computed properties:
Calculated formation energy = 0.960 eV per atom
Energy relative to the lowest polymorph listed for this composition = 0.301 eV/atom
SG = I-4m2 (119)
Final energy = -28.236 eV/cell
Calculated volume = 20.22 Å³/atom


Below is a relaxed SrLi2Re crystal, with properties calculated at the PBE level.

Geometry as POSCAR:
```
SrLi2Re
1.0
3.927 0.000 0.000
0.000 4.187 0.000
0.000 0.000 9.908
Sr Li Re
2 4 2
Cartesian
0.000 0.000 0.000
1.964 2.094 0.000
0.000 0.000 5.439
0.000 2.094 3.062
1.964 0.000 3.062
1.964 2.094 5.439
0.000 2.094 7.403
1.964 0.000 7.403
```

Computed properties:
Calculated formation energy = 0.687 eV per atom
Energy relative to the lowest polymorph listed for this composition = 0.029 eV/atom
SG = Cmm2 (35)
Final energy = -30.416 eV/cell
Calculated volume = 20.37 Å³/atom


Below is a relaxed SrLi2Re crystal, with properties calculated at the PBE level.

Geometry as POSCAR:
```
SrLi2Re
1.0
6.219 0.000 0.000
0.000 9.764 0.000
-1.064 0.000 2.570
Sr Li Re
2 4 2
Cartesian
0.000 0.000 0.000
3.109 4.882 0.000
1.023 2.441 1.285
1.023 7.323 1.285
4.132 2.441 1.285
4.132 7.323 1.285
0.000 4.882 0.000
3.109 0.000 0.000
```

Computed properties:
Calculated formation energy = 0.771 eV per atom
Energy relative to the lowest polymorph listed for this composition = 0.113 eV/atom
SG = C2/m (12)
Final energy = -29.744 eV/cell
Calculated volume = 19.51 Å³/atom


Below is a relaxed SrLi2Re crystal, with properties calculated at the PBE level.

Geometry as POSCAR:
```
SrLi2Re
1.0
9.569 0.000 0.000
0.000 2.775 0.000
-0.588 0.000 6.159
Sr Li Re
2 4 2
Cartesian
0.000 0.000 0.000
4.784 1.387 0.000
1.846 0.000 4.107
4.422 0.000 2.804
6.631 1.387 4.107
9.207 1.387 2.804
2.188 1.387 1.761
6.973 0.000 1.761
```

Computed properties:
Calculated formation energy = 0.742 eV per atom
Energy relative to the lowest polymorph listed for this composition = 0.083 eV/atom
SG = Cm (8)
Final energy = -29.979 eV/cell
Calculated volume = 20.44 Å³/atom


Below is a relaxed SrLi2Re crystal, with properties calculated at the PBE level.

Geometry as POSCAR:
```
SrLi2Re
1.0
4.395 0.000 0.000
0.000 4.395 0.000
0.000 0.000 20.198
Sr Li Re
4 8 4
Cartesian
0.000 0.000 0.000
0.000 2.197 5.049
2.197 0.000 15.148
2.197 2.197 10.099
0.695 1.099 12.624
1.099 2.892 17.673
1.099 3.700 7.574
1.503 1.099 2.525
2.892 3.296 2.525
3.296 0.695 7.574
3.296 1.503 17.673
3.700 3.296 12.624
0.000 0.000 10.099
0.000 2.197 15.148
2.197 0.000 5.049
2.197 2.197 0.000
```

Computed properties:
Calculated formation energy = 1.096 eV per atom
Energy relative to the lowest polymorph listed for this composition = 0.437 eV/atom
SG = I-42d (122)
Final energy = -54.296 eV/cell
Calculated volume = 24.38 Å³/atom


Below is a relaxed SrLi2Re crystal, with properties calculated at the PBE level.

Geometry as POSCAR:
```
SrLi2Re
1.0
10.094 0.000 0.000
0.000 2.762 0.000
-0.514 0.000 5.753
Sr Li Re
2 4 2
Cartesian
0.000 0.000 0.000
5.047 1.381 0.000
2.038 0.000 3.899
2.495 1.381 1.855
7.085 1.381 3.899
7.542 0.000 1.855
-0.257 1.381 2.877
4.790 0.000 2.877
```

Computed properties:
Calculated formation energy = 0.659 eV per atom
Energy relative to the lowest polymorph listed for this composition = 0.000 eV/atom
SG = C2/m (12)
Final energy = -30.646 eV/cell
Calculated volume = 20.05 Å³/atom


Look up the final energy of the third one. -29.744 eV/cell